Entry 1:
InGe3O: optimized geometry, PBE.

Calculated values
Its energy above the lowest structure with this stoichiometry is 0.0000 eV/atom. The value obtained for the energy relative to the elements, uncorrected is -4.1 kJ per mole of atoms. Its magnetization is 0.0 μB per formula unit.

Unit cell a=4.5542 b=4.5542 c=4.5542 alpha=90.00 beta=90.00 gamma=90.00
Positions (direct):
In: 0.0000 0.0000 0.0000
Ge: 0.0000 0.5000 0.5000
Ge: 0.5000 0.0000 0.5000
Ge: 0.5000 0.5000 0.0000
O: 0.5000 0.5000 0.5000

***

Entry 2:
Ac12Mg3H5: optimized geometry, PBE.

Calculated values
The calculation puts the energy at -288.96 eV for the cell shown. Its magnetization is 0.0 μB per formula unit.

Unit cell a=15.0659 b=15.0659 c=15.0659 alpha=109.47 beta=109.47 gamma=109.47
Positions (direct):
Ac: 0.0127 0.2047 0.1087
Ac: 0.0127 0.3080 0.9040
Ac: 0.0960 0.6087 0.4040
Ac: 0.0960 0.7048 0.6920
Ac: 0.0960 0.8913 0.4040
Ac: 0.0960 0.9873 0.6920
Ac: 0.1087 0.0127 0.2047
Ac: 0.1087 0.5960 0.9040
Ac: 0.1920 0.2047 0.5960
Ac: 0.1920 0.4873 0.5960
Ac: 0.2047 0.1087 0.0127
Ac: 0.2047 0.5960 0.1920
Ac: 0.2952 0.3080 0.9040
Ac: 0.2952 0.4873 0.3913
Ac: 0.3080 0.9040 0.0127
Ac: 0.3080 0.9040 0.2952
Ac: 0.3913 0.2952 0.4873
Ac: 0.3913 0.5960 0.9040
Ac: 0.4040 0.0960 0.6087
Ac: 0.4040 0.0960 0.8913
Ac: 0.4040 0.8080 0.5127
Ac: 0.4040 0.8080 0.7952
Ac: 0.4873 0.3913 0.2952
Ac: 0.4873 0.5960 0.1920
Ac: 0.5127 0.4040 0.8080
Ac: 0.5127 0.6087 0.7048
Ac: 0.5960 0.1920 0.2047
Ac: 0.5960 0.1920 0.4873
Ac: 0.5960 0.9040 0.1087
Ac: 0.5960 0.9040 0.3913
Ac: 0.6087 0.4040 0.0960
Ac: 0.6087 0.7048 0.5127
Ac: 0.6920 0.0960 0.7048
Ac: 0.6920 0.0960 0.9873
Ac: 0.7048 0.5127 0.6087
Ac: 0.7048 0.6920 0.0960
Ac: 0.7952 0.4040 0.8080
Ac: 0.7952 0.8913 0.9873
Ac: 0.8080 0.5127 0.4040
Ac: 0.8080 0.7952 0.4040
Ac: 0.8913 0.4040 0.0960
Ac: 0.8913 0.9873 0.7952
Ac: 0.9040 0.0127 0.3080
Ac: 0.9040 0.1087 0.5960
Ac: 0.9040 0.2952 0.3080
Ac: 0.9040 0.3913 0.5960
Ac: 0.9873 0.6920 0.0960
Ac: 0.9873 0.7952 0.8913
Mg: 0.1250 0.2500 0.3750
Mg: 0.1250 0.3750 0.7500
Mg: 0.2500 0.3750 0.1250
Mg: 0.2500 0.8750 0.6250
Mg: 0.3750 0.1250 0.2500
Mg: 0.3750 0.7500 0.1250
Mg: 0.6250 0.2500 0.8750
Mg: 0.6250 0.8750 0.7500
Mg: 0.7500 0.1250 0.3750
Mg: 0.7500 0.6250 0.8750
Mg: 0.8750 0.6250 0.2500
Mg: 0.8750 0.7500 0.6250
H: 0.0000 0.0000 0.0000
H: 0.0000 0.0000 0.5000
H: 0.0000 0.5000 0.0000
H: 0.0000 0.5000 0.5000
H: 0.1250 0.7500 0.8750
H: 0.1250 0.8750 0.2500
H: 0.2500 0.1250 0.8750
H: 0.2500 0.6250 0.3750
H: 0.3750 0.2500 0.6250
H: 0.3750 0.6250 0.7500
H: 0.5000 0.0000 0.0000
H: 0.5000 0.0000 0.5000
H: 0.5000 0.5000 0.0000
H: 0.5000 0.5000 0.5000
H: 0.6250 0.3750 0.2500
H: 0.6250 0.7500 0.3750
H: 0.7500 0.3750 0.6250
H: 0.7500 0.8750 0.1250
H: 0.8750 0.1250 0.7500
H: 0.8750 0.2500 0.1250

***

Entry 3:
Ca2AcPr6: optimized geometry, PBE.

Calculated values
Its calculated formation energy is 4.101 kcal/mol of atoms. Its magnetization is 0.0 μB per formula unit.

Unit cell a=10.6140 b=10.6140 c=10.6140 alpha=160.81 beta=116.65 gamma=66.87
Positions (direct):
Ca: 0.1645 0.1645 0.0000
Ca: 0.8355 0.8355 0.0000
Ac: 0.5000 0.5000 0.0000
Pr: 0.1441 0.3332 0.8108
Pr: 0.1976 0.0000 0.1976
Pr: 0.4776 0.6668 0.8108
Pr: 0.5224 0.3332 0.1892
Pr: 0.8024 0.0000 0.8024
Pr: 0.8559 0.6668 0.1892

***

Entry 4:
NdSi4Pt4: optimized geometry, PBE.

Calculated values
The value obtained for the energy relative to the elements, uncorrected is -73.4 kJ per mole of atoms. Its magnetization is 0.0 μB per formula unit.

Unit cell a=6.1863 b=6.1863 c=8.0433 alpha=90.00 beta=90.00 gamma=90.00
Positions (direct):
Nd: 0.2500 0.7500 0.2500
Nd: 0.7500 0.2500 0.7500
Si: 0.0359 0.2500 0.0757
Si: 0.2500 0.0359 0.5757
Si: 0.2500 0.4641 0.5757
Si: 0.4641 0.2500 0.0757
Si: 0.5359 0.7500 0.9243
Si: 0.7500 0.5359 0.4243
Si: 0.7500 0.9641 0.4243
Si: 0.9641 0.7500 0.9243
Pt: 0.0259 0.2500 0.3784
Pt: 0.2500 0.0259 0.8784
Pt: 0.2500 0.4741 0.8784
Pt: 0.4741 0.2500 0.3784
Pt: 0.5259 0.7500 0.6216
Pt: 0.7500 0.5259 0.1216
Pt: 0.7500 0.9741 0.1216
Pt: 0.9741 0.7500 0.6216

***

Entry 5:
Cs2RbHgPb: optimized geometry, PBE.

Calculated values
Its calculated formation energy is -0.584 kcal/mol of atoms. Its energy above the lowest structure with this stoichiometry is 0.0000 eV/atom. Its magnetization is 0.5 μB per formula unit.

Unit cell a=7.4230 b=7.4230 c=5.7199 alpha=90.00 beta=90.00 gamma=90.00
Positions (direct):
Cs: 0.0000 0.5000 0.0000
Cs: 0.5000 0.0000 0.0000
Rb: 0.0000 0.0000 0.5000
Hg: 0.5000 0.5000 0.0000
Pb: 0.5000 0.5000 0.5000

***

Entry 6:
LaCu2Ni: optimized geometry, PBE.

Calculated values
Its calculated formation energy is -0.218 kcal/mol of atoms. Its magnetization is 0.0 μB per formula unit.

Unit cell a=4.3594 b=4.3594 c=16.9930 alpha=90.00 beta=90.00 gamma=90.00
Positions (direct):
La: 0.0000 0.0000 0.0000
La: 0.0000 0.5000 0.2500
La: 0.5000 0.0000 0.7500
La: 0.5000 0.5000 0.5000
Cu: 0.0636 0.2500 0.6250
Cu: 0.2500 0.5636 0.8750
Cu: 0.2500 0.9364 0.3750
Cu: 0.4364 0.2500 0.1250
Cu: 0.5636 0.7500 0.1250
Cu: 0.7500 0.0636 0.3750
Cu: 0.7500 0.4364 0.8750
Cu: 0.9364 0.7500 0.6250
Ni: 0.0000 0.0000 0.5000
Ni: 0.0000 0.5000 0.7500
Ni: 0.5000 0.0000 0.2500
Ni: 0.5000 0.5000 0.0000

***

Entry 7:
BaAl4Tc: optimized geometry, PBE.

Calculated values
Its calculated formation energy is 5.404 kcal/mol of atoms. Its magnetization is 0.0 μB per formula unit.

Unit cell a=5.5049 b=5.5049 c=5.5049 alpha=60.00 beta=60.00 gamma=60.00
Positions (direct):
Ba: 0.0000 0.0000 0.0000
Al: 0.3762 0.3762 0.3762
Al: 0.3762 0.3762 0.8715
Al: 0.3762 0.8715 0.3762
Al: 0.8715 0.3762 0.3762
Tc: 0.7500 0.7500 0.7500

***

Entry 8:
SrDySnPb: optimized geometry, PBE.

Calculated values
Its calculated formation energy is -10.320 kcal/mol of atoms. Its magnetization is 0.0 μB per formula unit.

Unit cell a=7.8816 b=7.8816 c=7.8816 alpha=90.00 beta=90.00 gamma=90.00
Positions (direct):
Sr: 0.0000 0.0000 0.0000
Sr: 0.0000 0.5000 0.5000
Sr: 0.5000 0.0000 0.5000
Sr: 0.5000 0.5000 0.0000
Dy: 0.0000 0.0000 0.5000
Dy: 0.0000 0.5000 0.0000
Dy: 0.5000 0.0000 0.0000
Dy: 0.5000 0.5000 0.5000
Sn: 0.2500 0.2500 0.2500
Sn: 0.2500 0.7500 0.7500
Sn: 0.7500 0.2500 0.7500
Sn: 0.7500 0.7500 0.2500
Pb: 0.2500 0.2500 0.7500
Pb: 0.2500 0.7500 0.2500
Pb: 0.7500 0.2500 0.2500
Pb: 0.7500 0.7500 0.7500

***

Entry 9:
La12NdCd3: optimized geometry, PBE.

Calculated values
Its calculated formation energy is -2.142 kcal/mol of atoms. Its magnetization is 0.0 μB per formula unit.

Unit cell a=5.1118 b=5.1118 c=20.5202 alpha=90.00 beta=90.00 gamma=90.00
Positions (direct):
La: 0.0000 0.0000 0.0000
La: 0.0000 0.0000 0.2469
La: 0.0000 0.0000 0.5000
La: 0.0000 0.0000 0.7531
La: 0.0000 0.5000 0.1229
La: 0.0000 0.5000 0.3700
La: 0.0000 0.5000 0.6300
La: 0.0000 0.5000 0.8771
La: 0.5000 0.0000 0.1229
La: 0.5000 0.0000 0.3700
La: 0.5000 0.0000 0.6300
La: 0.5000 0.0000 0.8771
Nd: 0.5000 0.5000 0.5000
Cd: 0.5000 0.5000 0.0000
Cd: 0.5000 0.5000 0.2446
Cd: 0.5000 0.5000 0.7554

***

Entry 10:
CsRb2Br: optimized geometry, PBE.

Calculated values
Its energy above the lowest structure with this stoichiometry is 0.0534 eV/atom. The value obtained for the energy relative to the elements, uncorrected is -73.6 kJ per mole of atoms. Its magnetization is 0.0 μB per formula unit.

Unit cell a=4.5072 b=4.5072 c=13.0128 alpha=90.00 beta=90.00 gamma=90.00
Positions (direct):
Cs: 0.0000 0.0000 0.0000
Rb: 0.5000 0.5000 0.3455
Rb: 0.5000 0.5000 0.6545
Br: 0.0000 0.0000 0.5000

***

Entry 11:
Ce2SbCl: optimized geometry, PBE.

Calculated values
The value obtained for the energy relative to the elements, uncorrected is -120.8 kJ per mole of atoms. Its magnetization is 2.2 μB per formula unit.

Unit cell a=7.5520 b=4.2897 c=14.3112 alpha=90.00 beta=90.00 gamma=90.00
Positions (direct):
Ce: 0.1543 0.2500 0.2369
Ce: 0.2255 0.7500 0.0033
Ce: 0.2745 0.2500 0.5033
Ce: 0.3457 0.7500 0.7369
Ce: 0.6543 0.2500 0.2631
Ce: 0.7255 0.7500 0.4967
Ce: 0.7745 0.2500 0.9967
Ce: 0.8457 0.7500 0.7631
Sb: 0.1039 0.2500 0.8538
Sb: 0.3961 0.7500 0.3538
Sb: 0.6039 0.2500 0.6462
Sb: 0.8961 0.7500 0.1462
Cl: 0.0722 0.7500 0.5987
Cl: 0.4278 0.2500 0.0987
Cl: 0.5722 0.7500 0.9013
Cl: 0.9278 0.2500 0.4013

***

Entry 12:
Tb3Pm3Y: optimized geometry, PBE.

Calculated values
Its calculated formation energy is 3.612 kcal/mol of atoms. Its energy above the lowest structure with this stoichiometry is 0.1381 eV/atom. Its magnetization is 0.0 μB per formula unit.

Unit cell a=14.8836 b=14.8836 c=14.8836 alpha=24.21 beta=24.21 gamma=24.21
Positions (direct):
Tb: 0.1012 0.4348 0.7681
Tb: 0.2319 0.8988 0.5652
Tb: 0.4348 0.7681 0.1012
Tb: 0.5652 0.2319 0.8988
Tb: 0.7681 0.1012 0.4348
Tb: 0.8988 0.5652 0.2319
Pm: 0.0372 0.6995 0.3684
Pm: 0.3005 0.6316 0.9628
Pm: 0.3684 0.0372 0.6995
Pm: 0.6316 0.9628 0.3005
Pm: 0.6995 0.3684 0.0372
Pm: 0.9628 0.3005 0.6316
Y: 0.1667 0.1667 0.1667
Y: 0.8333 0.8333 0.8333